No. 1
Entry from Alexandria via LeMat-Bulk: a relaxed NiSnTe2 crystal (PBE-GGA).

Properties
As for the calculated total energy: -4.128 eV per atom.

Cell and atoms, written as CIF:
```
data_NiSnTe2
_symmetry_space_group_name_H-M 'R 3 m'
_symmetry_Int_Tables_number 160
_symmetry_space_group_name_Hall 'R 3 -2"'
_cell_length_a 3.9327
_cell_length_b 3.9327
_cell_length_c 22.0145
_cell_angle_alpha 90.00
_cell_angle_beta 90.00
_cell_angle_gamma 120.00
loop_
_atom_site_label
_atom_site_type_symbol
_atom_site_fract_x
_atom_site_fract_y
_atom_site_fract_z
Ni1 Ni 0.0000 0.0000 0.0000
Sn1 Sn 0.0000 0.0000 0.8355
Te1 Te 0.0000 0.0000 0.3952
Te2 Te 0.0000 0.0000 0.6045
```

---

No. 2
Entry from Alexandria via LeMat-Bulk: a relaxed Pm2CoOs2 crystal (PBE-GGA).

Properties
For the formation enthalpy at 0 K, the calculation gives -113 meV per atom.

Cell and atoms, written as CIF:
```
data_Pm2CoOs2
_symmetry_space_group_name_H-M 'I m m m'
_symmetry_Int_Tables_number 71
_symmetry_space_group_name_Hall '-I 2 2'
_cell_length_a 4.441
_cell_length_b 5.057
_cell_length_c 9.260
_cell_angle_alpha 90.00
_cell_angle_beta 90.00
_cell_angle_gamma 90.00
loop_
_atom_site_label
_atom_site_type_symbol
_atom_site_fract_x
_atom_site_fract_y
_atom_site_fract_z
Pm1 Pm 0.000 0.000 0.190
Co1 Co 0.000 0.500 0.000
Os1 Os 0.000 0.254 0.500
```

---

No. 3
Entry from Alexandria via LeMat-Bulk: a relaxed ZrHgSe crystal (PBE-GGA).

Properties
As for the calculated total energy: -4.509 eV per atom.

Cell and atoms, written as CIF:
```
data_ZrHgSe
_symmetry_space_group_name_H-M 'P -6 m 2'
_symmetry_Int_Tables_number 187
_symmetry_space_group_name_Hall 'P -6 2'
_cell_length_a 4.5924
_cell_length_b 4.5924
_cell_length_c 3.8481
_cell_angle_alpha 90.00
_cell_angle_beta 90.00
_cell_angle_gamma 120.00
loop_
_atom_site_label
_atom_site_type_symbol
_atom_site_fract_x
_atom_site_fract_y
_atom_site_fract_z
Zr1 Zr 0.0000 0.0000 0.0000
Hg1 Hg 0.3333 0.6667 0.5000
Se1 Se 0.6667 0.3333 0.0000
```

---

No. 4
Entry from Alexandria via LeMat-Bulk: a relaxed Dy4Cd5Au6 crystal (PBE-GGA).

Properties
For the formation enthalpy at 0 K, the calculation gives -560 meV per atom.

Cell and atoms, written as CIF:
```
data_Dy4Cd5Au6
_symmetry_space_group_name_H-M 'C m c 21'
_symmetry_Int_Tables_number 36
_cell_length_a 3.932
_cell_length_b 23.067
_cell_length_c 15.158
_cell_angle_alpha 90.00
_cell_angle_beta 90.00
_cell_angle_gamma 90.00
loop_
_symmetry_equiv_pos_as_xyz
'x,y,z'
'-x,-y,z+1/2'
'-x,y,z'
'x,-y,z+1/2'
'x+1/2,y+1/2,z'
'-x+1/2,-y+1/2,z+1/2'
'-x+1/2,y+1/2,z'
'x+1/2,-y+1/2,z+1/2'
loop_
_atom_site_label
_atom_site_type_symbol
_atom_site_fract_x
_atom_site_fract_y
_atom_site_fract_z
Dy1 Dy 0.000 0.020 0.000
Dy2 Dy 0.000 0.052 0.273
Dy3 Dy 0.000 0.134 0.775
Dy4 Dy 0.000 0.179 0.434
Cd1 Cd 0.000 0.178 0.111
Cd2 Cd 0.000 0.307 0.109
Cd3 Cd 0.000 0.326 0.765
Cd4 Cd 0.000 0.360 0.456
Cd5 Cd 0.000 0.464 0.161
Au1 Au 0.000 0.102 0.580
Au2 Au 0.000 0.229 0.937
Au3 Au 0.000 0.269 0.286
Au4 Au 0.000 0.415 0.624
Au5 Au 0.000 0.422 0.922
Au6 Au 0.000 0.460 0.348
```

---

No. 5
Entry from Alexandria via LeMat-Bulk: a relaxed PuScFeNi crystal (PBE-GGA).

Properties
For the formation enthalpy at 0 K, the calculation gives -87 meV per atom.

Cell and atoms, written as CIF:
```
data_PuScFeNi
_symmetry_space_group_name_H-M 'F -4 3 m'
_symmetry_Int_Tables_number 216
_symmetry_space_group_name_Hall 'F -4 2 3'
_cell_length_a 6.482
_cell_length_b 6.482
_cell_length_c 6.482
_cell_angle_alpha 90.00
_cell_angle_beta 90.00
_cell_angle_gamma 90.00
loop_
_atom_site_label
_atom_site_type_symbol
_atom_site_fract_x
_atom_site_fract_y
_atom_site_fract_z
Pu1 Pu 0.000 0.000 0.000
Sc1 Sc 0.000 0.000 0.500
Fe1 Fe 0.250 0.250 0.250
Ni1 Ni 0.250 0.250 0.750
```

---

No. 6
Entry from Alexandria via LeMat-Bulk: a relaxed Th2Co2Hg3 crystal (PBE-GGA).

Properties
For the formation enthalpy at 0 K, the calculation gives -253 meV per atom.

Cell and atoms, written as CIF:
```
data_Th2Co2Hg3
_symmetry_space_group_name_H-M 'C m m m'
_symmetry_Int_Tables_number 65
_symmetry_space_group_name_Hall '-C 2 2'
_cell_length_a 3.988
_cell_length_b 20.944
_cell_length_c 3.703
_cell_angle_alpha 90.00
_cell_angle_beta 90.00
_cell_angle_gamma 90.00
loop_
_atom_site_label
_atom_site_type_symbol
_atom_site_fract_x
_atom_site_fract_y
_atom_site_fract_z
Th1 Th 0.000 0.177 0.000
Co1 Co 0.000 0.295 0.500
Hg1 Hg 0.000 0.000 0.000
Hg2 Hg 0.000 0.424 0.500
```

---

No. 7
Entry from Alexandria via LeMat-Bulk: a relaxed VSiP crystal (PBE-GGA).

Properties
As for the calculated total energy: -6.984 eV per atom.

Cell and atoms, written as CIF:
```
data_VSiP
_symmetry_space_group_name_H-M 'P 4 m m'
_symmetry_Int_Tables_number 99
_cell_length_a 2.928
_cell_length_b 2.928
_cell_length_c 5.058
_cell_angle_alpha 90.00
_cell_angle_beta 90.00
_cell_angle_gamma 90.00
loop_
_symmetry_equiv_pos_as_xyz
'x,y,z'
'-y,x,z'
'-x,-y,z'
'y,-x,z'
'-x,y,z'
'y,x,z'
'x,-y,z'
'-y,-x,z'
loop_
_atom_site_label
_atom_site_type_symbol
_atom_site_fract_x
_atom_site_fract_y
_atom_site_fract_z
V1 V 0.000 0.000 0.000
Si1 Si 0.500 0.500 0.308
P1 P 0.500 0.500 0.756
```

---

No. 8
Entry from Alexandria via LeMat-Bulk: a relaxed Sc2Ga2H crystal (PBE-GGA).

Properties
As for the calculated total energy: -4.810 eV per atom.

Cell and atoms, written as CIF:
```
data_Sc2Ga2H
_symmetry_space_group_name_H-M 'P 4/m b m'
_symmetry_Int_Tables_number 127
_symmetry_space_group_name_Hall '-P 4 2ab'
_cell_length_a 6.103
_cell_length_b 6.103
_cell_length_c 4.634
_cell_angle_alpha 90.00
_cell_angle_beta 90.00
_cell_angle_gamma 90.00
loop_
_atom_site_label
_atom_site_type_symbol
_atom_site_fract_x
_atom_site_fract_y
_atom_site_fract_z
Sc1 Sc 0.168 0.332 0.000
Ga1 Ga 0.149 0.649 0.500
H1 H 0.000 0.000 0.000
```

---

No. 9
Entry from Alexandria via LeMat-Bulk: a relaxed NbCuNi crystal (PBE-GGA).

Properties
For the formation enthalpy at 0 K, the calculation gives -100 meV per atom.

Cell and atoms, written as CIF:
```
data_NbCuNi
_symmetry_space_group_name_H-M 'I m m m'
_symmetry_Int_Tables_number 71
_symmetry_space_group_name_Hall '-I 2 2'
_cell_length_a 4.212
_cell_length_b 5.299
_cell_length_c 7.300
_cell_angle_alpha 90.00
_cell_angle_beta 90.00
_cell_angle_gamma 90.00
loop_
_atom_site_label
_atom_site_type_symbol
_atom_site_fract_x
_atom_site_fract_y
_atom_site_fract_z
Nb1 Nb 0.000 0.248 0.000
Cu1 Cu 0.000 0.000 0.334
Ni1 Ni 0.000 0.500 0.333
```

---

No. 10
Entry from Alexandria via LeMat-Bulk: a relaxed Cr2Pd9Pb crystal (PBE-GGA).

Properties
For the formation enthalpy at 0 K, the calculation gives -133 meV per atom.

Cell and atoms, written as CIF:
```
data_Cr2Pd9Pb
_symmetry_space_group_name_H-M 'P 4/m m m'
_symmetry_Int_Tables_number 123
_symmetry_space_group_name_Hall '-P 4 2'
_cell_length_a 3.982
_cell_length_b 3.982
_cell_length_c 11.915
_cell_angle_alpha 90.00
_cell_angle_beta 90.00
_cell_angle_gamma 90.00
loop_
_atom_site_label
_atom_site_type_symbol
_atom_site_fract_x
_atom_site_fract_y
_atom_site_fract_z
Cr1 Cr 0.000 0.000 0.159
Pd1 Pd 0.000 0.500 0.000
Pd2 Pd 0.000 0.500 0.321
Pd3 Pd 0.500 0.500 0.161
Pd4 Pd 0.500 0.500 0.500
Pb1 Pb 0.000 0.000 0.500
```

---

No. 11
Entry from Alexandria via LeMat-Bulk: a relaxed BaV2TeN crystal (PBE-GGA).

Properties
As for the calculated total energy: -4.962 eV per atom.

Cell and atoms, written as CIF:
```
data_BaV2TeN
_symmetry_space_group_name_H-M 'P 4/m m m'
_symmetry_Int_Tables_number 123
_symmetry_space_group_name_Hall '-P 4 2'
_cell_length_a 5.055
_cell_length_b 5.055
_cell_length_c 6.879
_cell_angle_alpha 90.00
_cell_angle_beta 90.00
_cell_angle_gamma 90.00
loop_
_atom_site_label
_atom_site_type_symbol
_atom_site_fract_x
_atom_site_fract_y
_atom_site_fract_z
Ba1 Ba 0.000 0.000 0.000
V1 V 0.000 0.500 0.500
Te1 Te 0.000 0.000 0.500
N1 N 0.500 0.500 0.000
```

---

No. 12
Entry from Alexandria via LeMat-Bulk: a relaxed Sc2TaS crystal (PBE-GGA).

Properties
As for the calculated total energy: -7.503 eV per atom.

Cell and atoms, written as CIF:
```
data_Sc2TaS
_symmetry_space_group_name_H-M 'R -3 m'
_symmetry_Int_Tables_number 166
_symmetry_space_group_name_Hall '-R 3 2"'
_cell_length_a 3.2595
_cell_length_b 3.2595
_cell_length_c 26.5430
_cell_angle_alpha 90.00
_cell_angle_beta 90.00
_cell_angle_gamma 120.00
loop_
_atom_site_label
_atom_site_type_symbol
_atom_site_fract_x
_atom_site_fract_y
_atom_site_fract_z
Sc1 Sc 0.0000 0.0000 0.1047
Ta1 Ta 0.0000 0.0000 0.0000
S1 S 0.0000 0.0000 0.5000
```

---

No. 13
Entry from Alexandria via LeMat-Bulk: a relaxed PrPuZnGa crystal (PBE-GGA).

Properties
For the formation enthalpy at 0 K, the calculation gives -264 meV per atom.

Cell and atoms, written as CIF:
```
data_PrPuZnGa
_symmetry_space_group_name_H-M 'F -4 3 m'
_symmetry_Int_Tables_number 216
_symmetry_space_group_name_Hall 'F -4 2 3'
_cell_length_a 7.317
_cell_length_b 7.317
_cell_length_c 7.317
_cell_angle_alpha 90.00
_cell_angle_beta 90.00
_cell_angle_gamma 90.00
loop_
_atom_site_label
_atom_site_type_symbol
_atom_site_fract_x
_atom_site_fract_y
_atom_site_fract_z
Pr1 Pr 0.000 0.000 0.000
Pu1 Pu 0.000 0.000 0.500
Zn1 Zn 0.250 0.250 0.250
Ga1 Ga 0.250 0.250 0.750
```

---

No. 14
Entry from Alexandria via LeMat-Bulk: a relaxed Ho6Tm8In crystal (PBE-GGA).

Properties
For the formation enthalpy at 0 K, the calculation gives 204 meV per atom.

Cell and atoms, written as CIF:
```
data_Ho6Tm8In
_symmetry_space_group_name_H-M 'P -3'
_symmetry_Int_Tables_number 147
_cell_length_a 9.0849
_cell_length_b 9.0849
_cell_length_c 6.6293
_cell_angle_alpha 90.00
_cell_angle_beta 90.00
_cell_angle_gamma 120.00
loop_
_symmetry_equiv_pos_as_xyz
'x,y,z'
'-x,-y,-z'
'-y,x-y,z'
'y,-x+y,-z'
'-x+y,-x,z'
'x-y,x,-z'
loop_
_atom_site_label
_atom_site_type_symbol
_atom_site_fract_x
_atom_site_fract_y
_atom_site_fract_z
Ho1 Ho 0.0814 0.3983 0.3992
Tm1 Tm 0.0181 0.6851 0.1073
Tm2 Tm 0.3333 0.6667 0.8126
In1 In 0.0000 0.0000 0.5000
```

---

No. 15
Entry from Alexandria via LeMat-Bulk: a relaxed Tb5Nd7Dy crystal (PBE-GGA).

Properties
For the formation enthalpy at 0 K, the calculation gives 229 meV per atom.

Cell and atoms, written as CIF:
```
data_Tb5Nd7Dy
_symmetry_space_group_name_H-M 'I m m 2'
_symmetry_Int_Tables_number 44
_cell_length_a 6.749
_cell_length_b 11.392
_cell_length_c 11.778
_cell_angle_alpha 90.00
_cell_angle_beta 90.00
_cell_angle_gamma 90.00
loop_
_symmetry_equiv_pos_as_xyz
'x,y,z'
'-x,-y,z'
'-x,y,z'
'x,-y,z'
'x+1/2,y+1/2,z+1/2'
'-x+1/2,-y+1/2,z+1/2'
'-x+1/2,y+1/2,z+1/2'
'x+1/2,-y+1/2,z+1/2'
loop_
_atom_site_label
_atom_site_type_symbol
_atom_site_fract_x
_atom_site_fract_y
_atom_site_fract_z
Tb1 Tb 0.000 0.000 0.000
Tb2 Tb 0.232 0.271 0.503
Nd1 Nd 0.000 0.000 0.498
Nd2 Nd 0.000 0.172 0.249
Nd3 Nd 0.000 0.173 0.752
Nd4 Nd 0.000 0.500 0.307
Nd5 Nd 0.000 0.500 0.997
Dy1 Dy 0.000 0.500 0.687
```

---

No. 16
Entry from Alexandria via LeMat-Bulk: a relaxed TaMnCo2 crystal (PBE-GGA).

Properties
For the formation enthalpy at 0 K, the calculation gives 83 meV per atom.

Cell and atoms, written as CIF:
```
data_TaMnCo2
_symmetry_space_group_name_H-M 'C 1 2/m 1'
_symmetry_Int_Tables_number 12
_cell_length_a 5.141
_cell_length_b 8.110
_cell_length_c 2.680
_cell_angle_alpha 90.00
_cell_angle_beta 109.75
_cell_angle_gamma 90.00
loop_
_symmetry_equiv_pos_as_xyz
'x,y,z'
'-x,-y,-z'
'-x,y,-z'
'x,-y,z'
'x+1/2,y+1/2,z'
'-x+1/2,-y+1/2,-z'
'-x+1/2,y+1/2,-z'
'x+1/2,-y+1/2,z'
loop_
_atom_site_label
_atom_site_type_symbol
_atom_site_fract_x
_atom_site_fract_y
_atom_site_fract_z
Ta1 Ta 0.000 0.000 0.000
Mn1 Mn 0.000 0.500 0.000
Co1 Co 0.250 0.250 0.500
```

---

| no. | spin magnetization (μB/atom) |
| --- | --- |
| 1 | 0.000 |
| 2 | 0.241 |
| 3 | 0.000 |
| 4 | 0.000 |
| 5 | 0.998 |
| 6 | 0.000 |
| 7 | 0.000 |
| 8 | 0.000 |
| 9 | 0.000 |
| 10 | 0.491 |
| 11 | 1.367 |
| 12 | 0.161 |
| 13 | 1.560 |
| 14 | 0.000 |
| 15 | 0.000 |
| 16 | 1.184 |